1.
Material: Ac2Al3PdPt4
Method: DFT, PBE
State: optimized geometry

Output
ΔE_f: -1.0130 eV/atom

Cell and atoms, written as CIF:
```
data_Ac2Al3PdPt4
_symmetry_space_group_name_H-M 'P -4 m 2'
_symmetry_Int_Tables_number 115
_symmetry_space_group_name_Hall 'P -4 -2'
_cell_length_a 4.3696
_cell_length_b 4.3696
_cell_length_c 10.8145
_cell_angle_alpha 90.00
_cell_angle_beta 90.00
_cell_angle_gamma 90.00
loop_
_atom_site_label
_atom_site_type_symbol
_atom_site_fract_x
_atom_site_fract_y
_atom_site_fract_z
_atom_site_occupancy
Ac1 Ac 0.0000 0.5000 0.2461 1
Al1 Al 0.0000 0.0000 0.0000 1
Al2 Al 0.0000 0.5000 0.6168 1
Pd1 Pd 0.5000 0.5000 0.0000 1
Pt1 Pt 0.0000 0.0000 0.5000 1
Pt2 Pt 0.0000 0.5000 0.8489 1
Pt3 Pt 0.5000 0.5000 0.5000 1
```

---

2.
Material: HfScCr2
Method: DFT, PBE
State: optimized geometry

Output
ΔE_f: 0.7606 eV/atom

Cell and atoms, written as CIF:
```
data_HfScCr2
_symmetry_space_group_name_H-M 'I -4 2 d'
_symmetry_Int_Tables_number 122
_symmetry_space_group_name_Hall 'I -4 2bw'
_cell_length_a 7.1761
_cell_length_b 7.1761
_cell_length_c 5.8613
_cell_angle_alpha 90.00
_cell_angle_beta 90.00
_cell_angle_gamma 90.00
loop_
_atom_site_label
_atom_site_type_symbol
_atom_site_fract_x
_atom_site_fract_y
_atom_site_fract_z
_atom_site_occupancy
Hf1 Hf 0.0000 0.0000 0.0000 1
Sc1 Sc 0.0000 0.0000 0.5000 1
Cr1 Cr 0.2480 0.2500 0.6250 1
```

---

3.
Material: Sc2TePd2
Method: DFT, PBE
State: optimized geometry

Output
energy relative to the elements, uncorrected: -0.717 eV/atom

Cell and atoms, written as CIF:
```
data_Sc2TePd2
_symmetry_space_group_name_H-M 'P 4/m b m'
_symmetry_Int_Tables_number 127
_symmetry_space_group_name_Hall '-P 4 2ab'
_cell_length_a 7.7309
_cell_length_b 7.7309
_cell_length_c 3.4624
_cell_angle_alpha 90.00
_cell_angle_beta 90.00
_cell_angle_gamma 90.00
loop_
_atom_site_label
_atom_site_type_symbol
_atom_site_fract_x
_atom_site_fract_y
_atom_site_fract_z
_atom_site_occupancy
Sc1 Sc 0.1590 0.3410 0.0000 1
Te1 Te 0.0000 0.0000 0.0000 1
Pd1 Pd 0.1283 0.6283 0.5000 1
```

---

4.
Material: KNaSr2Ni
Method: DFT, PBE
State: optimized geometry

Output
ΔE_f: 0.1422 eV/atom

Cell and atoms, written as CIF:
```
data_KNaSr2Ni
_symmetry_space_group_name_H-M 'P 4/m m m'
_symmetry_Int_Tables_number 123
_symmetry_space_group_name_Hall '-P 4 2'
_cell_length_a 5.8476
_cell_length_b 5.8476
_cell_length_c 6.1552
_cell_angle_alpha 90.00
_cell_angle_beta 90.00
_cell_angle_gamma 90.00
loop_
_atom_site_label
_atom_site_type_symbol
_atom_site_fract_x
_atom_site_fract_y
_atom_site_fract_z
_atom_site_occupancy
K1 K 0.0000 0.0000 0.0000 1
Na1 Na 0.5000 0.5000 0.0000 1
Sr1 Sr 0.0000 0.5000 0.5000 1
Ni1 Ni 0.5000 0.5000 0.5000 1
```

---

5.
Material: PtCl3F
Method: DFT, PBE
State: optimized geometry

Output
energy relative to the elements, uncorrected: 0.037 eV/atom

Cell and atoms, written as CIF:
```
data_PtCl3F
_symmetry_space_group_name_H-M 'P m -3 m'
_symmetry_Int_Tables_number 221
_symmetry_space_group_name_Hall '-P 4 2 3'
_cell_length_a 4.7927
_cell_length_b 4.7927
_cell_length_c 4.7927
_cell_angle_alpha 90.00
_cell_angle_beta 90.00
_cell_angle_gamma 90.00
loop_
_atom_site_label
_atom_site_type_symbol
_atom_site_fract_x
_atom_site_fract_y
_atom_site_fract_z
_atom_site_occupancy
Pt1 Pt 0.0000 0.0000 0.0000 1
Cl1 Cl 0.0000 0.0000 0.5000 1
F1 F 0.5000 0.5000 0.5000 1
```

---

6.
Material: Pm2LuTl
Method: DFT, PBE
State: optimized geometry

Output
ΔE_f: -0.1390 eV/atom

Cell and atoms, written as CIF:
```
data_Pm2LuTl
_symmetry_space_group_name_H-M 'P 4/m m m'
_symmetry_Int_Tables_number 123
_symmetry_space_group_name_Hall '-P 4 2'
_cell_length_a 3.6081
_cell_length_b 3.6081
_cell_length_c 9.5439
_cell_angle_alpha 90.00
_cell_angle_beta 90.00
_cell_angle_gamma 90.00
loop_
_atom_site_label
_atom_site_type_symbol
_atom_site_fract_x
_atom_site_fract_y
_atom_site_fract_z
_atom_site_occupancy
Pm1 Pm 0.0000 0.0000 0.2349 1
Lu1 Lu 0.5000 0.5000 0.5000 1
Tl1 Tl 0.5000 0.5000 0.0000 1
```

---

| no. | total energy (eV/cell) | calculated density (g/cm³) | total magnetization (μB per formula unit) |
| --- | --- | --- | --- |
| 1 | -58.9 | 11.43 | 0.00 |
| 2 | -130.0 | 7.21 | 5.22 |
| 3 | -59.6 | 6.91 | 0.00 |
| 4 | -10.9 | 2.34 | 0.00 |
| 5 | -13.3 | 4.83 | 1.43 |
| 6 | -16.9 | 8.95 | 0.00 |